one.
## Sn3Bi2Pb8 (GGA-PBE)

Data for a relaxed Sn3Bi2Pb8 crystal.

Lattice parameters (Å, degrees): 5.776 8.778 8.778 82.50 77.40 77.40
Positions (direct):
Sn (0.500, 0.000, 0.000)
Sn (0.000, 0.239, 0.761)
Sn (0.000, 0.761, 0.239)
Bi (0.359, 0.277, 0.277)
Bi (0.641, 0.723, 0.723)
Pb (0.201, 0.568, 0.568)
Pb (0.799, 0.432, 0.432)
Pb (0.934, 0.141, 0.141)
Pb (0.066, 0.859, 0.859)
Pb (0.588, 0.616, 0.111)
Pb (0.588, 0.111, 0.616)
Pb (0.412, 0.889, 0.384)
Pb (0.412, 0.384, 0.889)

Properties
- N(E_F) (states/eV/f.u.) = 5.37
- space-group type = No. 12
- total magnetization (μB per formula unit) = 0.00

---

two.
## Sn3Bi2Pb8 (GGA-PBE)

Data for a relaxed Sn3Bi2Pb8 crystal.

Lattice parameters (Å, degrees): 10.575 6.711 6.799 119.57 97.55 90.00
Positions (direct):
Sn (0.500, 0.000, 0.000)
Sn (0.000, 0.255, 0.000)
Sn (0.000, 0.745, 0.000)
Bi (0.392, 0.376, 0.753)
Bi (0.608, 0.624, 0.247)
Pb (0.918, 0.722, 0.445)
Pb (0.082, 0.278, 0.555)
Pb (0.787, 0.127, 0.254)
Pb (0.213, 0.873, 0.746)
Pb (0.692, 0.607, 0.732)
Pb (0.692, 0.125, 0.732)
Pb (0.308, 0.875, 0.268)
Pb (0.308, 0.393, 0.268)

Properties
- N(E_F) (states/eV/f.u.) = 8.04
- space-group type = No. 12
- total magnetization (μB per formula unit) = 0.00

---

The structure with the least stability is two.

---

one.
## SnBiPb2 (GGA-PBE)

Data for a relaxed SnBiPb2 crystal.

Lattice parameters (Å, degrees): 7.010 7.010 8.651 66.10 66.10 90.00
Positions (direct):
Pb (0.612, 0.125, 0.250)
Pb (0.138, 0.625, 0.250)
Pb (0.375, 0.388, 0.750)
Pb (0.875, 0.862, 0.750)
Bi (0.000, 0.000, 0.000)
Bi (0.750, 0.250, 0.500)
Sn (0.500, 0.500, 0.000)
Sn (0.250, 0.750, 0.500)

Properties
- N(E_F) (states/eV/f.u.) = 2.17
- space-group type = No. 122
- total magnetization (μB per formula unit) = 0.00

---

two.
## SnBiPb2 (GGA-PBE)

Data for a relaxed SnBiPb2 crystal.

Lattice parameters (Å, degrees): 3.406 3.406 12.766 82.33 82.33 60.00
Positions (direct):
Pb (0.086, 0.086, 0.743)
Pb (0.914, 0.914, 0.257)
Bi (0.500, 0.500, 0.500)
Sn (0.000, 0.000, 0.000)

Properties
- N(E_F) (states/eV/f.u.) = 2.92
- space-group type = No. 166
- total magnetization (μB per formula unit) = 0.00

---

The structure with the least stability is one.

---

one.
## SnBiPb2 (GGA-PBE)

Data for a relaxed SnBiPb2 crystal.

Lattice parameters (Å, degrees): 3.883 3.883 8.115 90.00 90.00 90.00
Positions (direct):
Pb (0.000, 0.000, 0.754)
Pb (0.000, 0.000, 0.246)
Bi (0.500, 0.500, 0.500)
Sn (0.500, 0.500, 0.000)

Properties
- N(E_F) (states/eV/f.u.) = 2.56
- space-group type = No. 123
- total magnetization (μB per formula unit) = 0.00

---

two.
## SnBiPb2 (GGA-PBE)

Data for a relaxed SnBiPb2 crystal.

Lattice parameters (Å, degrees): 3.358 5.786 12.797 90.00 97.54 90.00
Positions (direct):
Sn (0.023, 0.250, 0.045)
Sn (0.977, 0.750, 0.955)
Bi (0.777, 0.250, 0.553)
Bi (0.223, 0.750, 0.447)
Pb (0.151, 0.250, 0.302)
Pb (0.849, 0.750, 0.698)
Pb (0.404, 0.250, 0.808)
Pb (0.596, 0.750, 0.192)

Properties
- N(E_F) (states/eV/f.u.) = 1.94
- space-group type = No. 63
- total magnetization (μB per formula unit) = 0.00

---

three.
## SnBiPb2 (GGA-PBE)

Data for a relaxed SnBiPb2 crystal.

Lattice parameters (Å, degrees): 5.557 5.557 5.557 60.00 60.00 60.00
Positions (direct):
Pb (0.250, 0.250, 0.250)
Pb (0.750, 0.750, 0.750)
Bi (0.000, 0.000, 0.000)
Sn (0.500, 0.500, 0.500)

Properties
- N(E_F) (states/eV/f.u.) = 0.71
- space-group type = No. 225
- total magnetization (μB per formula unit) = 0.00

---

The structure with the least stability is one.